A plane-wave DFT calculation with PBE-GGA was carried out for a relaxed structure of Nd16Y6Ho7.

Values from the calculation:
Calculated formation energy (meV/atom): 196
SG: Fm-3m

abc: 11.317 11.317 11.317
angles: 60.00 60.00 60.00
Fractional coordinates of all 29 atoms:
Nd 0.876 0.876 0.373
Nd 0.876 0.876 0.876
Nd 0.876 0.373 0.876
Nd 0.373 0.876 0.876
Nd 0.124 0.124 0.124
Nd 0.124 0.124 0.627
Nd 0.124 0.627 0.124
Nd 0.627 0.124 0.124
Nd 0.651 0.651 0.048
Nd 0.651 0.651 0.651
Nd 0.651 0.048 0.651
Nd 0.048 0.651 0.651
Nd 0.349 0.349 0.349
Nd 0.349 0.349 0.952
Nd 0.349 0.952 0.349
Nd 0.952 0.349 0.349
Y 0.270 0.730 0.270
Y 0.730 0.270 0.730
Y 0.730 0.270 0.270
Y 0.270 0.730 0.730
Y 0.730 0.730 0.270
Y 0.270 0.270 0.730
Ho 0.000 0.000 0.000
Ho 0.500 0.000 0.500
Ho 0.000 0.500 0.000
Ho 0.000 0.500 0.500
Ho 0.500 0.000 0.000
Ho 0.000 0.000 0.500
Ho 0.500 0.500 0.000


A plane-wave DFT calculation with PBE-GGA was carried out for a relaxed structure of NdY2Ho6.

Values from the calculation:
Calculated formation energy (meV/atom): 225
Excess energy over the best structure of this formula in the dataset (eV per formula unit): 1.42
SG: P-3m1

abc: 6.113 7.372 7.372
angles: 59.97 89.98 89.98
Fractional coordinates of all 9 atoms:
Nd 0.000 0.000 0.000
Y 0.793 0.667 0.667
Y 0.207 0.333 0.333
Ho 0.300 0.374 0.813
Ho 0.300 0.813 0.813
Ho 0.300 0.813 0.374
Ho 0.700 0.626 0.187
Ho 0.700 0.187 0.187
Ho 0.700 0.187 0.626


A plane-wave DFT calculation with PBE-GGA was carried out for a relaxed structure of Nd3Y4Ho2.

Values from the calculation:
Calculated formation energy (meV/atom): 98
Excess energy over the best structure of this formula in the dataset (eV per formula unit): 0.72
SG: C2/c

abc: 6.091 11.320 11.320
angles: 62.42 63.76 63.76
Fractional coordinates of all 18 atoms:
Nd 0.748 0.059 0.275
Nd 0.752 0.725 0.941
Nd 0.252 0.941 0.725
Nd 0.248 0.275 0.059
Nd 0.250 0.603 0.397
Nd 0.750 0.397 0.603
Y 0.419 0.916 0.183
Y 0.081 0.817 0.084
Y 0.581 0.084 0.817
Y 0.919 0.183 0.916
Y 0.074 0.156 0.413
Y 0.426 0.587 0.844
Y 0.926 0.844 0.587
Y 0.574 0.413 0.156
Ho 0.414 0.249 0.520
Ho 0.086 0.480 0.751
Ho 0.586 0.751 0.480
Ho 0.914 0.520 0.249


A plane-wave DFT calculation with PBE-GGA was carried out for a relaxed structure of Nd4Y2Ho5.

Values from the calculation:
Calculated formation energy (meV/atom): 99
Excess energy over the best structure of this formula in the dataset (eV per formula unit): 0.43
SG: C2/m

abc: 5.675 6.637 10.033
angles: 91.04 106.43 90.00
Fractional coordinates of all 11 atoms:
Nd 0.305 0.927 0.610
Nd 0.980 0.713 0.960
Nd 0.695 0.073 0.390
Nd 0.020 0.287 0.040
Y 0.402 0.446 0.803
Y 0.598 0.554 0.197
Ho 0.791 0.598 0.583
Ho 0.209 0.402 0.417
Ho 0.870 0.108 0.740
Ho 0.500 0.000 0.000
Ho 0.130 0.892 0.260


A plane-wave DFT calculation with PBE-GGA was carried out for a relaxed structure of NdYHo.

Values from the calculation:
Calculated formation energy (meV/atom): 18
Excess energy over the best structure of this formula in the dataset (eV per formula unit): 0.07
SG: C2/c

abc: 6.229 6.227 6.211
angles: 80.37 120.10 109.49
Fractional coordinates of all 6 atoms:
Nd 0.751 0.750 0.503
Nd 0.249 0.250 0.497
Y 0.418 0.750 0.835
Y 0.582 0.250 0.165
Ho 0.082 0.750 0.165
Ho 0.918 0.250 0.835


A plane-wave DFT calculation with PBE-GGA was carried out for a relaxed structure of NdY3Ho3.

Values from the calculation:
Calculated formation energy (meV/atom): 10
Excess energy over the best structure of this formula in the dataset (eV per formula unit): 0.00
SG: P6_3/m

abc: 5.687 9.606 9.606
angles: 120.00 90.00 90.00
Fractional coordinates of all 14 atoms:
Nd 0.250 0.667 0.333
Nd 0.750 0.333 0.667
Y 0.750 0.621 0.525
Y 0.750 0.475 0.096
Y 0.750 0.904 0.379
Y 0.250 0.379 0.475
Y 0.250 0.525 0.904
Y 0.250 0.096 0.621
Ho 0.250 0.814 0.765
Ho 0.250 0.235 0.049
Ho 0.250 0.951 0.186
Ho 0.750 0.186 0.235
Ho 0.750 0.765 0.951
Ho 0.750 0.049 0.814


A plane-wave DFT calculation with PBE-GGA was carried out for a relaxed structure of Nd2YHo7.

Values from the calculation:
Calculated formation energy (meV/atom): 21
Excess energy over the best structure of this formula in the dataset (eV per formula unit): 0.00
SG: P-1

abc: 6.160 7.979 11.283
angles: 135.12 56.69 121.14
Fractional coordinates of all 10 atoms:
Nd 0.501 0.900 0.600
Nd 0.499 0.100 0.400
Y 0.000 0.000 0.000
Ho 0.000 0.600 0.400
Ho 0.000 0.400 0.600
Ho 0.500 0.701 0.802
Ho 0.500 0.299 0.198
Ho 0.001 0.798 0.198
Ho 0.999 0.202 0.802
Ho 0.500 0.500 0.000


A plane-wave DFT calculation with PBE-GGA was carried out for a relaxed structure of NdY2Ho2.

Values from the calculation:
Calculated formation energy (meV/atom): 118
Excess energy over the best structure of this formula in the dataset (eV per formula unit): 0.17
SG: C2/m

abc: 5.821 6.844 9.967
angles: 98.46 73.02 64.83
Fractional coordinates of all 10 atoms:
Nd 0.297 0.253 0.152
Nd 0.703 0.747 0.848
Y 0.687 0.258 0.368
Y 0.313 0.742 0.632
Y 0.072 0.783 0.074
Y 0.928 0.217 0.926
Ho 0.110 0.236 0.544
Ho 0.890 0.764 0.456
Ho 0.475 0.288 0.761
Ho 0.525 0.712 0.239


A plane-wave DFT calculation with PBE-GGA was carried out for a relaxed structure of Nd3Y4Ho.

Values from the calculation:
Calculated formation energy (meV/atom): 130
Excess energy over the best structure of this formula in the dataset (eV per formula unit): 0.91
SG: Immm

abc: 3.495 11.746 8.977
angles: 130.86 101.22 90.00
Fractional coordinates of all 8 atoms:
Y 0.634 0.380 0.268
Y 0.366 0.620 0.732
Y 0.366 0.112 0.732
Y 0.634 0.888 0.268
Nd 0.000 0.500 0.000
Nd 0.757 0.757 0.514
Nd 0.243 0.243 0.486
Ho 0.500 0.000 0.000


A plane-wave DFT calculation with PBE-GGA was carried out for a relaxed structure of NdYHo5.

Values from the calculation:
Calculated formation energy (meV/atom): 191
SG: C2/c

abc: 8.818 8.818 13.249
angles: 44.86 44.86 43.71
Fractional coordinates of all 14 atoms:
Nd 0.000 0.000 0.000
Nd 0.000 0.000 0.500
Y 0.763 0.237 0.250
Y 0.237 0.763 0.750
Ho 0.738 0.748 0.099
Ho 0.335 0.331 0.584
Ho 0.748 0.738 0.599
Ho 0.239 0.761 0.250
Ho 0.669 0.665 0.916
Ho 0.331 0.335 0.084
Ho 0.761 0.239 0.750
Ho 0.252 0.262 0.401
Ho 0.665 0.669 0.416
Ho 0.262 0.252 0.901


| no. | M_tot (μB per atom) |
| --- | --- |
| 1 | 0.000 |
| 2 | 0.000 |
| 3 | 0.000 |
| 4 | 0.000 |
| 5 | 0.000 |
| 6 | 0.000 |
| 7 | 0.000 |
| 8 | 0.000 |
| 9 | 0.000 |
| 10 | 0.000 |